LaIn2Sb2 | Alexandria | PBE | optimized geometry; total magnetization = 0.00 μB/atom; raw total energy = -4.05 eV/atom; energy relative to the elements, uncorrected = -0.32 eV per atom; crystal system = tetragonal
1.0
8.287 0.000 0.000
0.000 8.287 0.000
0.000 0.000 4.311
La In Sb
2 4 4
direct
0.000 0.000 0.000
0.500 0.500 0.000
0.164 0.336 0.500
0.336 0.836 0.500
0.664 0.164 0.500
0.836 0.664 0.500
0.135 0.635 0.000
0.365 0.135 0.000
0.635 0.865 0.000
0.865 0.365 0.000